Entry 1:
Compound: MnIn2Cu
Source: the Alexandria database
Functional: PBE
Structure: optimized geometry

The calculation puts the formation energy at 1.4 eV/f.u. As for the crystal system: cubic. The value obtained for the final energy is -69.4 eV/cell.

The space group is F-43m (No. 216) and the conventional cell measures 6.7084, 6.7084 and 6.7084 Å, with angles of 90.00, 90.00 and 90.00 degrees. The inequivalent atoms are Mn at (0.0000, 0.0000, 0.0000), In at (0.0000, 0.0000, 0.5000), In at (0.2500, 0.2500, 0.7500) and Cu at (0.2500, 0.2500, 0.2500).


Entry 2:
Compound: Mn3InCu
Source: the Alexandria database
Functional: PBE
Structure: optimized geometry

The calculation puts the formation energy at 3.7 eV/f.u. For the excess energy over the best structure of this formula in the dataset, the calculation gives 0 meV/atom. As for the crystal system: cubic. The value obtained for the final energy is -30.6 eV/cell.

The space group is Pm-3m (No. 221) and the conventional cell measures 4.5595, 4.5595 and 4.5595 Å, with angles of 90.00, 90.00 and 90.00 degrees. The inequivalent atoms are Mn at (0.0000, 0.0000, 0.5000), In at (0.5000, 0.5000, 0.5000) and Cu at (0.0000, 0.0000, 0.0000).


Entry 3:
Compound: Mn2InCu
Source: the Alexandria database
Functional: PBE
Structure: optimized geometry

The calculation puts the formation energy at 1.1 eV/f.u. As for the crystal system: tetragonal. The value obtained for the final energy is -48.2 eV/cell.

The space group is I-4m2 (No. 119) and the conventional cell measures 3.9109, 3.9109 and 8.0935 Å, with angles of 90.00, 90.00 and 90.00 degrees. The inequivalent atoms are Mn at (0.0000, 0.0000, 0.0000), Mn at (0.0000, 0.5000, 0.2500), In at (0.0000, 0.0000, 0.5000) and Cu at (0.0000, 0.5000, 0.7500).


Entry 4:
Compound: Mn2InCu
Source: the Alexandria database
Functional: PBE
Structure: optimized geometry

The calculation puts the formation energy at 0.9 eV/f.u. As for the crystal system: monoclinic. The value obtained for the final energy is -24.2 eV/cell.

The space group is P2/m (No. 10) and the conventional cell measures 2.9218, 3.6881 and 5.6410 Å, with angles of 90.00, 90.19 and 90.00 degrees. The inequivalent atoms are Mn at (0.0007, 0.0000, 0.2739), In at (0.5000, 0.5000, 0.0000) and Cu at (0.5000, 0.5000, 0.5000).


Entry 5:
Compound: MnIn2Cu
Source: the Alexandria database
Functional: PBE
Structure: optimized geometry

The calculation puts the formation energy at 0.7 eV/f.u. As for the crystal system: monoclinic. The value obtained for the final energy is -18.1 eV/cell.

The space group is Pm (No. 6) and the conventional cell measures 3.1350, 4.6086 and 4.9340 Å, with angles of 90.00, 90.08 and 90.00 degrees. The inequivalent atoms are Mn at (0.0000, 0.0000, 0.0000), In at (0.4995, 0.0000, 0.5199), In at (0.5002, 0.5000, 0.0960) and Cu at (0.9993, 0.5000, 0.6306).


Entry 6:
Compound: Mn2InCu2
Source: the Alexandria database
Functional: PBE
Structure: optimized geometry

The calculation puts the formation energy at 2.1 eV/f.u. As for the crystal system: tetragonal. The value obtained for the final energy is -54.3 eV/cell.

The space group is I4/mmm (No. 139) and the conventional cell measures 3.4312, 3.4312 and 13.9771 Å, with angles of 90.00, 90.00 and 90.00 degrees. The inequivalent atoms are Mn at (0.0000, 0.0000, 0.1086), In at (0.0000, 0.0000, 0.5000) and Cu at (0.0000, 0.5000, 0.2500).